Crystalline DyGaGePt2 at its relaxed geometry, computed with PBE. Values from VASP.

```
&SYSTEM
  ibrav = 0, nat = 10, ntyp = 4
/
ATOMIC_SPECIES
Dy 162.50 Dy.upf
Ga 69.72 Ga.upf
Ge 72.64 Ge.upf
Pt 195.08 Pt.upf
ATOMIC_POSITIONS angstrom
Dy 1.052 1.052 2.623
Dy 3.155 3.155 7.929
Ga 1.052 3.155 0.000
Ga 3.155 1.052 0.000
Ge 1.052 1.052 6.692
Ge 3.155 3.155 3.859
Pt 1.052 1.052 9.096
Pt 1.052 3.155 5.276
Pt 3.155 1.052 5.276
Pt 3.155 3.155 1.456
CELL_PARAMETERS angstrom
4.206 0.000 0.000
0.000 4.206 0.000
0.000 0.000 10.552
```

Calculated values
For the energy, the calculation gives -57.9 eV per cell. As for the space group: P4/nmm (129).

***

Crystalline DyHfGa at its relaxed geometry, computed with PBE. Values from VASP.

```
&SYSTEM
  ibrav = 0, nat = 12, ntyp = 3
/
ATOMIC_SPECIES
Dy 162.50 Dy.upf
Hf 178.49 Hf.upf
Ga 69.72 Ga.upf
ATOMIC_POSITIONS angstrom
Dy 0.000 0.000 0.000
Dy 0.000 3.341 3.341
Dy 3.341 0.000 3.341
Dy 3.341 3.341 0.000
Hf 0.000 0.000 3.341
Hf 0.000 3.341 0.000
Hf 3.341 0.000 0.000
Hf 3.341 3.341 3.341
Ga 1.670 1.670 1.670
Ga 1.670 5.011 5.011
Ga 5.011 1.670 5.011
Ga 5.011 5.011 1.670
CELL_PARAMETERS angstrom
6.682 0.000 0.000
0.000 6.682 0.000
0.000 0.000 6.682
```

Calculated values
The value obtained for the excess energy over the best structure of this formula in the dataset is 0 meV per atom. As for the space group: F-43m (216).

***

Crystalline DyHfGa2Pt4 at its relaxed geometry, computed with PBE. Values from VASP.

```
&SYSTEM
  ibrav = 0, nat = 8, ntyp = 4
/
ATOMIC_SPECIES
Dy 162.50 Dy.upf
Hf 178.49 Hf.upf
Ga 69.72 Ga.upf
Pt 195.08 Pt.upf
ATOMIC_POSITIONS angstrom
Dy 0.000 0.000 0.000
Hf 2.169 1.252 4.469
Ga 0.000 2.505 2.242
Ga 0.000 2.505 6.695
Pt 0.000 0.000 3.104
Pt 0.000 0.000 5.833
Pt 2.169 1.252 1.558
Pt 2.169 1.252 7.379
CELL_PARAMETERS angstrom
4.338 0.000 0.000
-2.169 3.757 0.000
0.000 0.000 8.937
```

Calculated values
For the energy, the calculation gives -53.0 eV per cell. As for the space group: P-6m2 (187).

***

Crystalline DyGa2Hg at its relaxed geometry, computed with PBE. Values from VASP.

```
&SYSTEM
  ibrav = 0, nat = 16, ntyp = 3
/
ATOMIC_SPECIES
Dy 162.50 Dy.upf
Ga 69.72 Ga.upf
Hg 200.59 Hg.upf
ATOMIC_POSITIONS angstrom
Dy 1.210 1.905 0.000
Dy 1.210 7.467 3.118
Dy 3.630 3.658 3.118
Dy 3.630 9.220 0.000
Ga 1.210 1.697 3.024
Ga 1.210 4.752 4.748
Ga 1.210 7.259 6.142
Ga 1.210 10.314 1.629
Ga 3.630 0.811 1.629
Ga 3.630 3.866 6.142
Ga 3.630 6.373 4.748
Ga 3.630 9.428 3.024
Hg 1.210 4.614 1.509
Hg 1.210 10.177 4.628
Hg 3.630 0.948 4.628
Hg 3.630 6.511 1.509
CELL_PARAMETERS angstrom
4.839 0.000 0.000
0.000 11.125 0.000
0.000 0.000 6.237
```

Calculated values
The value obtained for the excess energy over the best structure of this formula in the dataset is 1 meV per atom. As for the space group: Ama2 (40).

***

Crystalline Dy2GaHg5 at its relaxed geometry, computed with PBE. Values from VASP.

```
&SYSTEM
  ibrav = 0, nat = 16, ntyp = 3
/
ATOMIC_SPECIES
Dy 162.50 Dy.upf
Ga 69.72 Ga.upf
Hg 200.59 Hg.upf
ATOMIC_POSITIONS angstrom
Dy 0.000 0.000 0.000
Dy 0.000 3.275 5.745
Dy 2.488 0.000 3.851
Dy 2.488 3.275 9.596
Ga 0.000 0.000 5.773
Ga 0.000 3.275 0.028
Hg 0.000 1.640 2.865
Hg 0.000 1.635 8.609
Hg 0.000 4.910 2.865
Hg 0.000 4.916 8.609
Hg 2.488 0.000 9.564
Hg 2.488 1.601 6.674
Hg 2.488 1.674 0.929
Hg 2.488 3.275 3.819
Hg 2.488 4.877 0.929
Hg 2.488 4.949 6.674
CELL_PARAMETERS angstrom
4.975 0.000 0.000
0.000 6.551 0.000
0.000 0.000 11.489
```

Calculated values
For the energy, the calculation gives -33.0 eV per cell. As for the space group: Amm2 (38).

***

Crystalline DyGa2Hg at its relaxed geometry, computed with PBE. Values from VASP.

```
&SYSTEM
  ibrav = 0, nat = 16, ntyp = 3
/
ATOMIC_SPECIES
Dy 162.50 Dy.upf
Ga 69.72 Ga.upf
Hg 200.59 Hg.upf
ATOMIC_POSITIONS angstrom
Dy 0.000 0.000 0.000
Dy 0.000 3.178 5.706
Dy 2.325 0.000 3.968
Dy 2.325 3.178 9.673
Ga 0.000 0.000 6.033
Ga 0.000 1.413 8.609
Ga 0.000 1.765 2.903
Ga 0.000 3.178 0.327
Ga 0.000 4.590 2.903
Ga 0.000 4.943 8.609
Ga 2.325 0.000 9.496
Ga 2.325 3.178 3.791
Hg 2.325 1.570 6.847
Hg 2.325 1.608 1.142
Hg 2.325 4.747 1.142
Hg 2.325 4.786 6.847
CELL_PARAMETERS angstrom
4.651 0.000 0.000
0.000 6.355 0.000
0.000 0.000 11.411
```

Calculated values
The value obtained for the excess energy over the best structure of this formula in the dataset is 0 meV per atom. As for the space group: Amm2 (38).

***

Crystalline DyGa2Hg at its relaxed geometry, computed with PBE. Values from VASP.

```
&SYSTEM
  ibrav = 0, nat = 16, ntyp = 3
/
ATOMIC_SPECIES
Dy 162.50 Dy.upf
Ga 69.72 Ga.upf
Hg 200.59 Hg.upf
ATOMIC_POSITIONS angstrom
Dy 0.000 1.719 1.189
Dy 0.000 9.109 3.567
Dy 3.261 3.695 3.567
Dy 3.261 7.133 1.189
Ga 1.515 4.568 1.189
Ga 1.515 6.260 3.567
Ga 1.746 0.846 3.567
Ga 1.746 9.982 1.189
Ga 4.776 0.846 3.567
Ga 4.776 9.982 1.189
Ga 5.007 4.568 1.189
Ga 5.007 6.260 3.567
Hg 0.000 3.652 3.567
Hg 0.000 7.176 1.189
Hg 3.261 1.762 1.189
Hg 3.261 9.066 3.567
CELL_PARAMETERS angstrom
6.522 0.000 0.000
0.000 10.828 0.000
0.000 0.000 4.756
```

Calculated values
The value obtained for the excess energy over the best structure of this formula in the dataset is 4 meV per atom. As for the space group: Cmcm (63).

***

Crystalline Dy2Ga3Hg3 at its relaxed geometry, computed with PBE. Values from VASP.

```
&SYSTEM
  ibrav = 0, nat = 16, ntyp = 3
/
ATOMIC_SPECIES
Dy 162.50 Dy.upf
Ga 69.72 Ga.upf
Hg 200.59 Hg.upf
ATOMIC_POSITIONS angstrom
Dy 0.000 0.000 0.000
Dy 0.000 3.231 5.600
Dy 2.416 0.000 3.741
Dy 2.416 3.231 9.340
Ga 0.000 1.478 8.432
Ga 0.000 1.753 2.832
Ga 0.000 4.710 2.832
Ga 0.000 4.985 8.432
Ga 2.416 0.000 9.278
Ga 2.416 3.231 3.678
Hg 0.000 0.000 5.650
Hg 0.000 3.231 0.050
Hg 2.416 1.604 6.648
Hg 2.416 1.627 1.048
Hg 2.416 4.836 1.048
Hg 2.416 4.859 6.648
CELL_PARAMETERS angstrom
4.832 0.000 0.000
0.000 6.463 0.000
0.000 0.000 11.199
```

Calculated values
The value obtained for the excess energy over the best structure of this formula in the dataset is 2 meV per atom. As for the space group: Amm2 (38).

***

Crystalline Dy2Ga3Hg3 at its relaxed geometry, computed with PBE. Values from VASP.

```
&SYSTEM
  ibrav = 0, nat = 8, ntyp = 3
/
ATOMIC_SPECIES
Dy 162.50 Dy.upf
Ga 69.72 Ga.upf
Hg 200.59 Hg.upf
ATOMIC_POSITIONS angstrom
Dy 0.000 0.000 0.000
Dy 0.024 2.406 3.877
Ga 3.202 0.000 0.135
Ga 3.299 2.406 3.764
Ga 4.743 0.000 2.873
Hg 1.642 2.406 1.002
Hg 1.699 0.000 2.912
Hg 4.764 2.406 1.049
CELL_PARAMETERS angstrom
6.392 0.000 0.000
0.000 4.811 0.000
-3.088 0.000 5.693
```

Calculated values
The value obtained for the excess energy over the best structure of this formula in the dataset is 0 meV per atom. As for the space group: Pm (6).

***

Crystalline Dy2Ga3Hg3 at its relaxed geometry, computed with PBE. Values from VASP.

```
&SYSTEM
  ibrav = 0, nat = 8, ntyp = 3
/
ATOMIC_SPECIES
Dy 162.50 Dy.upf
Ga 69.72 Ga.upf
Hg 200.59 Hg.upf
ATOMIC_POSITIONS angstrom
Dy 0.000 0.000 0.000
Dy 0.000 3.766 2.380
Ga 3.262 0.155 0.000
Ga 1.765 2.747 0.000
Ga 4.758 2.747 0.000
Hg 1.673 0.966 2.380
Hg 4.850 0.966 2.380
Hg 3.262 3.717 2.380
CELL_PARAMETERS angstrom
6.523 0.000 0.000
-3.262 5.649 0.000
0.000 0.000 4.760
```

Calculated values
The value obtained for the excess energy over the best structure of this formula in the dataset is 3 meV per atom. As for the space group: P-6m2 (187).

***

Crystalline Dy3Mg2InGa2Hg at its relaxed geometry, computed with PBE. Values from VASP.

```
&SYSTEM
  ibrav = 0, nat = 9, ntyp = 5
/
ATOMIC_SPECIES
Dy 162.50 Dy.upf
Mg 24.30 Mg.upf
In 114.82 In.upf
Ga 69.72 Ga.upf
Hg 200.59 Hg.upf
ATOMIC_POSITIONS angstrom
Dy 0.000 0.000 0.000
Dy 0.000 -2.776 2.429
Dy 0.000 2.776 2.429
Mg 2.272 -1.581 4.888
Mg 2.272 1.581 4.888
In 0.000 0.000 4.057
Ga 2.272 -4.197 3.996
Ga 2.272 4.197 3.996
Hg 2.272 0.000 2.162
CELL_PARAMETERS angstrom
4.543 0.000 0.000
0.000 6.351 3.622
0.000 -6.351 3.622
```

Calculated values
For the energy, the calculation gives -30.4 eV per cell. As for the space group: Amm2 (38).

***

Crystalline Tb2DyInGa2Hg3 at its relaxed geometry, computed with PBE. Values from VASP.

```
&SYSTEM
  ibrav = 0, nat = 9, ntyp = 5
/
ATOMIC_SPECIES
Tb 158.93 Tb.upf
Dy 162.50 Dy.upf
In 114.82 In.upf
Ga 69.72 Ga.upf
Hg 200.59 Hg.upf
ATOMIC_POSITIONS angstrom
Tb 0.000 -3.623 3.695
Tb 0.000 3.623 3.695
Dy 0.000 0.000 4.809
In 0.000 0.000 1.608
Ga 2.229 -2.127 5.297
Ga 2.229 2.127 5.297
Hg 2.229 -1.690 2.578
Hg 2.229 1.690 2.578
Hg 2.229 0.000 7.040
CELL_PARAMETERS angstrom
4.458 0.000 0.000
0.000 6.394 3.695
0.000 -6.394 3.695
```

Calculated values
For the energy, the calculation gives -27.9 eV per cell. As for the space group: Amm2 (38).